# Re3TcRu

A geometry-optimized Re3TcRu structure (PBE, Alexandria via LeMat-Bulk).

Calculated values
The calculation puts the calculated formation energy at 5 kJ per mole of atoms. Its density of states at the Fermi level is 6.01 states/eV/f.u. The value obtained for the energy above the most stable polymorph in this dataset is 3 meV/atom.

Unit cell a=12.3046 b=7.7792 c=8.6997 alpha=90.00 beta=134.98 gamma=90.00
Space group C2/c (No. 15)
Unique sites:
Re 0.0995 0.1259 0.1480 (multiplicity 8)
Re 0.1983 0.3749 0.0492 (multiplicity 8)
Re 0.1986 0.1252 0.5491 (multiplicity 8)
Tc 0.0000 0.1272 0.7500 (multiplicity 4)
Tc 0.0000 0.3758 0.2500 (multiplicity 4)
Ru 0.0998 0.3753 0.6490 (multiplicity 8)

# ReAgP

A geometry-optimized ReAgP structure (PBE, Alexandria via LeMat-Bulk).

Calculated values
The calculation puts the calculated formation energy at 29 kJ per mole of atoms. Its density of states at the Fermi level is 1.54 states/eV/f.u. The value obtained for the energy above the most stable polymorph in this dataset is 262 meV/atom.

Unit cell a=4.0197 b=4.0197 c=3.4387 alpha=90.00 beta=90.00 gamma=120.00
Space group P-6m2 (No. 187)
Unique sites:
Re 0.0000 0.0000 0.0000 (multiplicity 1)
Ag 0.6667 0.3333 0.5000 (multiplicity 1)
P 0.3333 0.6667 0.0000 (multiplicity 1)

# CuAuCl2

A geometry-optimized CuAuCl2 structure (PBE, Alexandria via LeMat-Bulk).

Calculated values
Its density of states at the Fermi level is 2.13 states/eV/f.u. For the uncorrected formation energy, the calculation gives 0.222 eV per atom. The value obtained for the energy above the most stable polymorph in this dataset is 450 meV/atom.

Unit cell a=6.6625 b=6.6625 c=6.6625 alpha=90.00 beta=90.00 gamma=90.00
Space group Fm-3m (No. 225)
Unique sites:
Cu 0.0000 0.0000 0.0000 (multiplicity 4)
Au 0.0000 0.0000 0.5000 (multiplicity 4)
Cl 0.2500 0.2500 0.2500 (multiplicity 8)

# LiBe2Cd

A geometry-optimized LiBe2Cd structure (PBE, Alexandria via LeMat-Bulk).

Calculated values
The calculation puts the calculated formation energy at 25 kJ per mole of atoms. Its density of states at the Fermi level is 0.76 states/eV/f.u.

Unit cell a=8.8219 b=3.2037 c=3.9665 alpha=90.00 beta=116.51 gamma=90.00
Space group C2/m (No. 12)
Unique sites:
Li 0.0000 0.0000 0.0000 (multiplicity 2)
Be 0.2480 0.5000 0.2477 (multiplicity 4)
Cd 0.0000 0.5000 0.5000 (multiplicity 2)

# KY2Mn

A geometry-optimized KY2Mn structure (PBE, Alexandria via LeMat-Bulk).

Calculated values
The calculation puts the calculated formation energy at 72 kJ per mole of atoms. Its density of states at the Fermi level is 5.60 states/eV/f.u. The value obtained for the energy above the most stable polymorph in this dataset is 491 meV/atom.

Unit cell a=6.9114 b=11.8088 c=3.3870 alpha=90.00 beta=113.94 gamma=90.00
Space group C2/m (No. 12)
Unique sites:
K 0.0000 0.0000 0.0000 (multiplicity 2)
Y 0.2500 0.2500 0.5000 (multiplicity 4)
Mn 0.0000 0.5000 0.0000 (multiplicity 2)

# Ca3Ni7Sn2

A geometry-optimized Ca3Ni7Sn2 structure (PBE, Alexandria via LeMat-Bulk).

Calculated values
The calculation puts the calculated formation energy at -21 kJ per mole of atoms. Its density of states at the Fermi level is 7.61 states/eV/f.u.

Unit cell a=5.4069 b=5.4069 c=24.1384 alpha=90.00 beta=90.00 gamma=120.00
Space group R-3m (No. 166, hexagonal axes)
Unique sites:
Ca 0.0000 0.0000 0.0000 (multiplicity 3)
Ca 0.0000 0.0000 0.1411 (multiplicity 6)
Ni 0.0000 0.0000 0.5000 (multiplicity 3)
Ni 0.0132 0.5066 0.0854 (multiplicity 18)
Sn 0.0000 0.0000 0.3304 (multiplicity 6)

# ScTiNbAl

A geometry-optimized ScTiNbAl structure (PBE, Alexandria via LeMat-Bulk).

Calculated values
The calculation puts the calculated formation energy at -11 kJ per mole of atoms. Its density of states at the Fermi level is 7.83 states/eV/f.u.

Unit cell a=6.6311 b=6.6311 c=6.6311 alpha=90.00 beta=90.00 gamma=90.00
Space group F-43m (No. 216)
Unique sites:
Sc 0.0000 0.0000 0.0000 (multiplicity 4)
Ti 0.0000 0.0000 0.5000 (multiplicity 4)
Nb 0.2500 0.2500 0.7500 (multiplicity 4)
Al 0.2500 0.2500 0.2500 (multiplicity 4)

# MgTl6Cd2

A geometry-optimized MgTl6Cd2 structure (PBE, Alexandria via LeMat-Bulk).

Calculated values
The calculation puts the calculated formation energy at 4 kJ per mole of atoms. Its density of states at the Fermi level is 5.59 states/eV/f.u.

Unit cell a=3.4063 b=3.4063 c=25.5380 alpha=90.00 beta=90.00 gamma=120.00
Space group P-6m2 (No. 187)
Unique sites:
Mg 0.0000 0.0000 0.0000 (multiplicity 1)
Tl 0.0000 0.0000 0.2167 (multiplicity 2)
Tl 0.0000 0.0000 0.4347 (multiplicity 2)
Tl 0.3333 0.6667 0.1011 (multiplicity 2)
Cd 0.3333 0.6667 0.3260 (multiplicity 2)

# CrGeTeI2

A geometry-optimized CrGeTeI2 structure (PBE, Alexandria via LeMat-Bulk).

Calculated values
Its density of states at the Fermi level is 3.27 states/eV/f.u. For the uncorrected formation energy, the calculation gives 0.338 eV per atom. The value obtained for the energy above the most stable polymorph in this dataset is 0 meV/atom.

Unit cell a=5.3914 b=5.3914 c=5.4829 alpha=90.00 beta=90.00 gamma=90.00
Space group P4/mmm (No. 123)
Unique sites:
Cr 0.0000 0.0000 0.0000 (multiplicity 1)
Ge 0.5000 0.5000 0.5000 (multiplicity 1)
Te 0.0000 0.0000 0.5000 (multiplicity 1)
I 0.0000 0.5000 0.0000 (multiplicity 2)

# CrSnSb2Te

A geometry-optimized CrSnSb2Te structure (PBE, Alexandria via LeMat-Bulk).

Calculated values
Its density of states at the Fermi level is 4.03 states/eV/f.u. For the uncorrected formation energy, the calculation gives 0.356 eV per atom. The value obtained for the energy above the most stable polymorph in this dataset is 0 meV/atom.

Unit cell a=5.0691 b=5.0691 c=5.5216 alpha=90.00 beta=90.00 gamma=90.00
Space group P4/mmm (No. 123)
Unique sites:
Cr 0.0000 0.0000 0.0000 (multiplicity 1)
Sn 0.5000 0.5000 0.5000 (multiplicity 1)
Sb 0.0000 0.5000 0.0000 (multiplicity 2)
Te 0.0000 0.0000 0.5000 (multiplicity 1)